(1)
## CdOsBr2 (PBE)

Data for a relaxed structure of CdOsBr2.

Cell: 7.031 7.031 7.031 Å, 154.73 140.73 47.28°
Fractional positions:
Os 0.241 0.741 0.500
Br 0.078 0.078 0.000
Br 0.756 0.256 0.500
Cd 0.424 0.424 0.000

Properties
ΔE_f (raw)	0.635	eV per atom
calculated total energy	-3.237	eV per atom
V	94	Å³/f.u.
spin magnetization	0.00	μB/atom
energy relative to the lowest polymorph listed for this composition	1.61	eV per formula unit

(2)
## LaNdTeBr (PBE)

Data for a relaxed structure of LaNdTeBr.

Cell: 5.423 5.423 5.423 Å, 60.00 60.00 60.00°
Fractional positions:
Te 0.250 0.250 0.250
Nd 0.500 0.500 0.500
Br 0.750 0.750 0.750
La 0.000 0.000 0.000

Properties
ΔE_f (raw)	-1.292	eV per atom
calculated total energy	-4.919	eV per atom
V	113	Å³/f.u.
spin magnetization	0.00	μB/atom

(3)
## HoAgPd4 (PBE)

Data for a relaxed structure of HoAgPd4.

Cell: 5.334 5.334 5.334 Å, 60.00 60.00 60.00°
Fractional positions:
Pd 0.625 0.625 0.124
Pd 0.625 0.124 0.625
Pd 0.625 0.625 0.625
Pd 0.124 0.625 0.625
Ho 0.250 0.250 0.250
Ag 0.000 0.000 0.000

Properties
calculated total energy	-5.227	eV per atom
V	107	Å³/f.u.
spin magnetization	0.00	μB/atom
energy relative to the lowest polymorph listed for this composition	0.02	eV per formula unit
formation energy from the elements	-527	meV per atom

(4)
## CsLa3Zn (PBE)

Data for a relaxed structure of CsLa3Zn.

Cell: 5.891 5.891 5.891 Å, 90.00 90.00 90.00°
Fractional positions:
Cs 0.000 0.000 0.000
Zn 0.500 0.500 0.500
La 0.000 0.500 0.000
La 0.000 0.000 0.500
La 0.500 0.000 0.000

Properties
calculated total energy	-2.318	eV per atom
V	204	Å³/f.u.
spin magnetization	0.00	μB/atom
energy relative to the lowest polymorph listed for this composition	3.73	eV per formula unit
formation energy from the elements	1064	meV per atom

(5)
## Cd2OsRu (PBE)

Data for a relaxed structure of Cd2OsRu.

Cell: 4.769 4.769 4.769 Å, 126.96 126.96 78.31°
Fractional positions:
Cd 0.000 0.000 0.000
Cd 0.250 0.750 0.500
Os 0.500 0.500 0.000
Ru 0.750 0.250 0.500

Properties
calculated total energy	-4.971	eV per atom
V	67	Å³/f.u.
spin magnetization	0.00	μB/atom
energy relative to the lowest polymorph listed for this composition	1.76	eV per formula unit
formation energy from the elements	613	meV per atom

(6)
## CaSi (PBE)

Data for a relaxed structure of CaSi.

Cell: 5.218 5.218 5.929 Å, 90.00 90.00 120.00°
Fractional positions:
Ca 0.333 0.667 0.750
Ca 0.667 0.333 0.250
Si 0.333 0.667 0.250
Si 0.667 0.333 0.750

Properties
ΔE_f (raw)	0.400	eV per atom
calculated total energy	-3.312	eV per atom
V	70	Å³/f.u.
spin magnetization	0.00	μB/atom

(7)
## LiCeGe2Os (PBE)

Data for a relaxed structure of LiCeGe2Os.

Cell: 4.218 4.218 5.966 Å, 110.70 110.70 90.00°
Each line ends with the local moment (μB).
Fractional positions:
Li 0.250 0.750 0.500  0.00
Ce 0.000 0.000 0.000  0.42
Ge 0.626 0.626 0.252  0.00
Ge 0.374 0.374 0.748  0.00
Os 0.750 0.250 0.500  -0.02

Properties
calculated total energy	-6.067	eV per atom
V	92	Å³/f.u.
spin magnetization	0.09	μB/atom
formation energy from the elements	-405	meV per atom

(8)
## PrNi7Ge2 (PBE)

Data for a relaxed structure of PrNi7Ge2.

Cell: 4.480 6.533 6.533 Å, 119.26 90.00 90.00°
Fractional positions:
Pr 0.000 0.000 0.000
Ni 0.000 0.758 0.242
Ni 0.000 0.242 0.758
Ni 0.500 0.069 0.302
Ni 0.500 0.931 0.698
Ni 0.500 0.302 0.069
Ni 0.500 0.698 0.931
Ni 0.500 0.500 0.500
Ge 0.500 0.703 0.297
Ge 0.500 0.297 0.703

Properties
calculated total energy	-5.321	eV per atom
V	167	Å³/f.u.
spin magnetization	0.00	μB/atom
formation energy from the elements	127	meV per atom

(9)
## NdYHo14 (PBE)

Data for a relaxed structure of NdYHo14.

Cell: 7.107 7.107 11.433 Å, 90.00 90.00 119.97°
Fractional positions:
Nd 0.708 0.292 0.500
Y 0.208 0.792 0.500
Ho 0.042 0.958 0.000
Ho 0.542 0.458 0.000
Ho 0.208 0.292 0.500
Ho 0.042 0.458 0.000
Ho 0.708 0.792 0.500
Ho 0.542 0.958 0.000
Ho 0.375 0.125 0.753
Ho 0.375 0.125 0.247
Ho 0.875 0.625 0.753
Ho 0.875 0.625 0.247
Ho 0.375 0.625 0.751
Ho 0.375 0.625 0.249
Ho 0.875 0.125 0.752
Ho 0.875 0.125 0.248

Properties
calculated total energy	-4.701	eV per atom
V	500	Å³/f.u.
spin magnetization	0.00	μB/atom
formation energy from the elements	6	meV per atom

(10)
## LaScTl (PBE)

Data for a relaxed structure of LaScTl.

Cell: 5.209 5.209 5.209 Å, 60.00 60.00 60.00°
Each line ends with the local moment (μB).
Fractional positions:
La 0.000 0.000 0.000  0.09
Sc 0.500 0.500 0.500  0.26
Tl 0.750 0.750 0.750  -0.01

Properties
calculated total energy	-4.551	eV per atom
V	100	Å³/f.u.
spin magnetization	0.21	μB/atom
energy relative to the lowest polymorph listed for this composition	0.84	eV per formula unit
formation energy from the elements	-10	meV per atom

(11)
## RbS6 (PBE)

Data for a relaxed structure of RbS6.

Cell: 6.392 17.542 8.228 Å, 90.00 90.00 89.82°
Fractional positions:
Rb 0.784 0.343 0.994
Rb 0.216 0.657 0.006
Rb 0.784 0.843 0.506
Rb 0.216 0.157 0.494
S 0.698 0.717 0.146
S 0.302 0.283 0.854
S 0.698 0.217 0.354
S 0.302 0.783 0.646
S 0.244 0.373 0.222
S 0.644 0.538 0.899
S 0.356 0.962 0.399
S 0.756 0.127 0.722
S 0.756 0.627 0.778
S 0.356 0.462 0.101
S 0.644 0.038 0.601
S 0.244 0.873 0.278
S 0.991 0.152 0.075
S 0.009 0.848 0.925
S 0.991 0.652 0.425
S 0.009 0.348 0.575
S 0.245 0.884 0.747
S 0.755 0.116 0.253
S 0.245 0.384 0.753
S 0.755 0.616 0.247
S 0.997 0.583 0.618
S 0.003 0.417 0.382
S 0.997 0.083 0.882
S 0.003 0.917 0.118

Properties
ΔE_f (raw)	-0.181	eV per atom
calculated total energy	-3.857	eV per atom
V	231	Å³/f.u.
spin magnetization	0.00	μB/atom
energy relative to the lowest polymorph listed for this composition	0.00	eV per formula unit

(12)
## Ac3HoEr (PBE)

Data for a relaxed structure of Ac3HoEr.

Cell: 6.488 9.358 13.240 Å, 90.00 90.00 90.00°
Fractional positions:
Ac 0.589 0.327 0.426
Ac 0.089 0.327 0.574
Ac 0.642 0.250 0.750
Ac 0.142 0.250 0.250
Ac 0.589 0.173 0.074
Ac 0.089 0.173 0.926
Ac 0.911 0.827 0.074
Ac 0.411 0.827 0.926
Ac 0.858 0.750 0.750
Ac 0.358 0.750 0.250
Ac 0.911 0.673 0.426
Ac 0.411 0.673 0.574
Ho 0.250 0.000 0.444
Ho 0.750 0.000 0.556
Ho 0.250 0.500 0.056
Ho 0.750 0.500 0.944
Er 0.750 0.000 0.306
Er 0.250 0.000 0.694
Er 0.250 0.500 0.806
Er 0.750 0.500 0.194

Properties
calculated total energy	-4.103	eV per atom
V	201	Å³/f.u.
spin magnetization	0.00	μB/atom
formation energy from the elements	190	meV per atom

(13)
## YMn2Re (PBE)

Data for a relaxed structure of YMn2Re.

Cell: 3.727 4.425 4.188 Å, 90.00 90.00 90.00°
Each line ends with the local moment (μB).
Fractional positions:
Mn 0.000 0.000 0.000  -3.15
Mn 0.500 0.500 0.000  -3.31
Re 0.500 0.000 0.500  0.39
Y 0.000 0.500 0.500  0.02

Properties
calculated total energy	-8.785	eV per atom
V	69	Å³/f.u.
spin magnetization	1.57	μB/atom
energy relative to the lowest polymorph listed for this composition	1.50	eV per formula unit
formation energy from the elements	528	meV per atom

(14)
## LiZr2Cd2 (PBE)

Data for a relaxed structure of LiZr2Cd2.

Cell: 8.391 8.391 3.258 Å, 90.00 90.00 90.00°
Fractional positions:
Li 0.000 0.000 0.000
Li 0.500 0.500 0.000
Zr 0.167 0.667 0.500
Zr 0.667 0.833 0.500
Zr 0.833 0.333 0.500
Zr 0.333 0.167 0.500
Cd 0.370 0.870 0.000
Cd 0.870 0.630 0.000
Cd 0.630 0.130 0.000
Cd 0.130 0.370 0.000

Properties
calculated total energy	-4.012	eV per atom
V	115	Å³/f.u.
spin magnetization	0.00	μB/atom
energy relative to the lowest polymorph listed for this composition	0.12	eV per formula unit
formation energy from the elements	156	meV per atom

(15)
## Fe4Se3N2 (PBE)

Data for a relaxed structure of Fe4Se3N2.

Cell: 6.565 6.565 8.762 Å, 48.53 48.53 28.45°
Each line ends with the local moment (μB).
Fractional positions:
Fe 0.807 0.807 0.362  -0.33
Fe 0.193 0.193 0.638  -0.33
Fe 0.720 0.720 0.851  1.11
Fe 0.280 0.280 0.149  1.11
Se 0.000 0.000 0.000  -0.01
Se 0.619 0.619 0.209  -0.06
Se 0.381 0.381 0.791  -0.06
N 0.784 0.784 0.592  0.01
N 0.216 0.216 0.408  0.01

Properties
ΔE_f (raw)	-0.015	eV per atom
calculated total energy	-6.788	eV per atom
V	131	Å³/f.u.
spin magnetization	0.16	μB/atom
energy relative to the lowest polymorph listed for this composition	0.00	eV per formula unit

(16)
## TbSm2Dy4Y2 (PBE)

Data for a relaxed structure of TbSm2Dy4Y2.

Cell: 3.601 9.520 9.572 Å, 115.23 90.00 100.90°
Fractional positions:
Tb 0.000 0.000 0.000
Sm 0.334 0.668 0.999
Sm 0.666 0.332 0.001
Dy 0.815 0.629 0.665
Dy 0.185 0.371 0.335
Dy 0.519 0.038 0.334
Dy 0.481 0.962 0.666
Y 0.853 0.706 0.336
Y 0.147 0.294 0.664

Properties
calculated total energy	-5.048	eV per atom
V	290	Å³/f.u.
spin magnetization	0.00	μB/atom
formation energy from the elements	-3	meV per atom

(17)
## Ho7ThIn4 (PBE)

Data for a relaxed structure of Ho7ThIn4.

Cell: 5.742 9.147 7.782 Å, 73.12 68.35 71.71°
Fractional positions:
Ho 0.793 0.881 0.534
Ho 0.207 0.119 0.466
Ho 0.065 0.602 0.268
Ho 0.935 0.398 0.732
Ho 0.271 0.674 0.785
Ho 0.500 0.000 0.000
Ho 0.729 0.326 0.215
Th 0.000 0.000 0.000
In 0.556 0.255 0.633
In 0.444 0.745 0.367
In 0.683 0.664 0.971
In 0.317 0.336 0.029

Properties
calculated total energy	-4.253	eV per atom
V	354	Å³/f.u.
spin magnetization	0.00	μB/atom
formation energy from the elements	-51	meV per atom

(18)
## NaAgO2 (PBE)

Data for a relaxed structure of NaAgO2.

Cell: 4.046 4.046 4.046 Å, 60.00 60.00 60.00°
Each line ends with the local moment (μB).
Fractional positions:
Na 0.000 0.000 0.000  -0.01
O 0.250 0.250 0.250  0.71
O 0.750 0.750 0.750  0.71
Ag 0.500 0.500 0.500  0.40

Properties
ΔE_f (raw)	-0.243	eV per atom
calculated total energy	-3.765	eV per atom
V	47	Å³/f.u.
spin magnetization	0.50	μB/atom

(19)
## BeNbB3 (PBE)

Data for a relaxed structure of BeNbB3.

Cell: 3.590 3.590 3.590 Å, 90.00 90.00 90.00°
Fractional positions:
Be 0.000 0.000 0.000
Nb 0.500 0.500 0.500
B 0.000 0.500 0.000
B 0.000 0.000 0.500
B 0.500 0.000 0.000

Properties
calculated total energy	-5.809	eV per atom
V	46	Å³/f.u.
spin magnetization	0.00	μB/atom
energy relative to the lowest polymorph listed for this composition	6.82	eV per formula unit
formation energy from the elements	957	meV per atom

(20)
## Li6NiBr8 (PBE)

Data for a relaxed structure of Li6NiBr8.

Cell: 7.753 7.753 7.753 Å, 60.00 60.00 60.00°
Each line ends with the local moment (μB).
Fractional positions:
Li 0.000 0.500 0.500  0.00
Li 0.500 0.000 0.000  0.00
Li 0.500 0.500 0.000  0.00
Li 0.000 0.000 0.500  0.00
Li 0.000 0.500 0.000  0.00
Li 0.500 0.000 0.500  0.00
Ni 0.000 0.000 0.000  1.33
Br 0.750 0.750 0.750  0.00
Br 0.250 0.250 0.250  0.00
Br 0.765 0.235 0.235  0.07
Br 0.235 0.765 0.765  0.07
Br 0.235 0.235 0.765  0.07
Br 0.765 0.765 0.235  0.07
Br 0.765 0.235 0.765  0.07
Br 0.235 0.765 0.235  0.07

Properties
ΔE_f (raw)	-1.278	eV per atom
calculated total energy	-3.321	eV per atom
V	329	Å³/f.u.
spin magnetization	0.13	μB/atom